Density functional theory data (PBE-GGA) for a relaxed structure of Cs2Ge2PbS6.

Values from the calculation:
final energy = -4.201 eV/atom
M_tot = 0.000 μB/atom

Unit cell a=7.361 b=7.361 c=9.258 alpha=66.57 beta=66.57 gamma=60.00
Sites, in units of the cell vectors:
Cs 0.784 0.784 0.649
Cs 0.216 0.216 0.351
Ge 0.413 0.413 0.761
Ge 0.587 0.587 0.239
Pb 0.000 0.000 0.000
S 0.749 0.749 0.255
S 0.247 0.749 0.255
S 0.749 0.247 0.255
S 0.251 0.753 0.745
S 0.753 0.251 0.745
S 0.251 0.251 0.745

=====

Density functional theory data (PBE-GGA) for a relaxed structure of LiMg3Sb.

Values from the calculation:
final energy = -1.893 eV/atom
E above lowest polymorph = 0 meV per atom
M_tot = 0.000 μB/atom

Unit cell a=4.928 b=4.928 c=4.928 alpha=90.00 beta=90.00 gamma=90.00
Sites, in units of the cell vectors:
Sb 0.500 0.500 0.500
Mg 0.000 0.500 0.000
Mg 0.000 0.000 0.500
Mg 0.500 0.000 0.000
Li 0.000 0.000 0.000

=====

Density functional theory data (PBE-GGA) for a relaxed structure of LaTcTe2.

Values from the calculation:
final energy = -6.023 eV/atom
E above lowest polymorph = 166 meV per atom
M_tot = 0.000 μB/atom

Unit cell a=4.393 b=4.393 c=6.597 alpha=70.56 beta=70.56 gamma=59.99
Sites, in units of the cell vectors:
La 0.250 0.250 0.250
Tc 0.750 0.750 0.750
Te 0.021 0.021 0.937
Te 0.479 0.479 0.563

=====

Density functional theory data (PBE-GGA) for a relaxed structure of MgTl2S2.

Values from the calculation:
final energy = -2.904 eV/atom
E above lowest polymorph = 725 meV per atom
M_tot = 0.000 μB/atom

Unit cell a=5.506 b=5.506 c=5.882 alpha=62.09 beta=62.09 gamma=90.00
Sites, in units of the cell vectors:
Mg 0.000 0.000 0.000
Tl 0.335 0.335 0.329
Tl 0.665 0.665 0.671
S 0.750 0.250 0.500
S 0.250 0.750 0.500

=====

Density functional theory data (PBE-GGA) for a relaxed structure of TbPm6Pr12.

Values from the calculation:
ΔH_f (0 K) = 0.1180 eV/atom
final energy = -4.645 eV/atom
E above lowest polymorph = 0 meV per atom
M_tot = 0.000 μB/atom

Unit cell a=8.946 b=8.946 c=8.946 alpha=97.84 beta=97.84 gamma=97.84
Sites, in units of the cell vectors:
Tb 0.000 0.000 0.000
Pm 0.139 0.139 0.407
Pm 0.861 0.593 0.861
Pm 0.593 0.861 0.861
Pm 0.861 0.861 0.593
Pm 0.139 0.407 0.139
Pm 0.407 0.139 0.139
Pr 0.584 0.170 0.584
Pr 0.170 0.584 0.584
Pr 0.584 0.584 0.170
Pr 0.416 0.830 0.416
Pr 0.830 0.416 0.416
Pr 0.416 0.416 0.830
Pr 0.262 0.000 0.738
Pr 0.262 0.738 0.000
Pr 0.000 0.262 0.738
Pr 0.738 0.000 0.262
Pr 0.738 0.262 0.000
Pr 0.000 0.738 0.262

=====

Density functional theory data (PBE-GGA) for a relaxed structure of BaY2Be.

Values from the calculation:
ΔH_f (0 K) = 0.2779 eV/atom
final energy = -4.366 eV/atom
M_tot = 0.000 μB/atom

Unit cell a=6.856 b=6.856 c=5.794 alpha=64.99 beta=64.99 gamma=30.64
Sites, in units of the cell vectors:
Y 0.945 0.945 0.055
Y 0.555 0.555 0.445
Be 0.250 0.250 0.250
Ba 0.750 0.750 0.750

=====

Q: Which ρ values were calculated for the entries above? A: 3.49 2.80 8.03 6.18 6.51 4.31, in g/cm3.